NaTlAu | GGA-PBE | relaxed Values from VASP.

Geometry as Quantum ESPRESSO input:
```
&SYSTEM
  ibrav = 0, nat = 3, ntyp = 3
/
ATOMIC_SPECIES
Na 22.99 Na.upf
Au 196.97 Au.upf
Tl 204.38 Tl.upf
CELL_PARAMETERS angstrom
0.0000 3.4536 3.4536
3.4536 0.0000 3.4536
3.4536 3.4536 0.0000
ATOMIC_POSITIONS crystal
Na 0.7500 0.7500 0.7500
Au 0.2500 0.2500 0.2500
Tl 0.0000 0.0000 0.0000
```

Calculated values
Energy (eV per cell): -7.07
SG: F-43m, No. 216